# Ac2Pm2Sn5

Ac2Pm2Sn5 after structural relaxation (PBE, Alexandria).

a = 9.6630 Å, b = 9.6630 Å, c = 8.3171 Å
α = 90.00°, β = 90.00°, γ = 51.19°
Positions (direct):
Ac: 0.1922 0.1922 0.0000
Ac: 0.3078 0.3078 0.5000
Ac: 0.6922 0.6922 0.5000
Ac: 0.8078 0.8078 0.0000
Pm: 0.1713 0.8287 0.6709
Pm: 0.3287 0.6713 0.1709
Pm: 0.6713 0.3287 0.8291
Pm: 0.8287 0.1713 0.3291
Sn: 0.0000 0.0000 0.0000
Sn: 0.0033 0.2513 0.6240
Sn: 0.2487 0.4967 0.8760
Sn: 0.2513 0.0033 0.3760
Sn: 0.4967 0.2487 0.1240
Sn: 0.5000 0.5000 0.5000
Sn: 0.5033 0.7513 0.8760
Sn: 0.7487 0.9967 0.6240
Sn: 0.7513 0.5033 0.1240
Sn: 0.9967 0.7487 0.3760

Values from the calculation:
Crystal system: orthorhombic

***

# AcPmSn2

AcPmSn2 after structural relaxation (PBE, Alexandria).

a = 6.4452 Å, b = 6.4452 Å, c = 6.4452 Å
α = 47.81°, β = 47.81°, γ = 47.81°
Positions (direct):
Ac: 0.0000 0.0000 0.0000
Pm: 0.5000 0.5000 0.5000
Sn: 0.2393 0.2393 0.2393
Sn: 0.7607 0.7607 0.7607

Values from the calculation:
Crystal system: trigonal

***

# Ac2Pm3Sn4

Ac2Pm3Sn4 after structural relaxation (PBE, Alexandria).

a = 8.6239 Å, b = 8.6622 Å, c = 8.3897 Å
α = 90.00°, β = 109.57°, γ = 90.00°
Positions (direct):
Ac: 0.1930 0.1757 0.0667
Ac: 0.1930 0.3243 0.5667
Ac: 0.8070 0.6757 0.4333
Ac: 0.8070 0.8243 0.9333
Pm: 0.2489 0.6700 0.2481
Pm: 0.2489 0.8300 0.7481
Pm: 0.5000 0.0000 0.5000
Pm: 0.5000 0.5000 0.0000
Pm: 0.7511 0.1700 0.2519
Pm: 0.7511 0.3300 0.7519
Sn: 0.0829 0.5401 0.8544
Sn: 0.0829 0.9599 0.3544
Sn: 0.4935 0.1321 0.8646
Sn: 0.4935 0.3679 0.3646
Sn: 0.5065 0.6321 0.6354
Sn: 0.5065 0.8679 0.1354
Sn: 0.9171 0.0401 0.6456
Sn: 0.9171 0.4599 0.1456

Values from the calculation:
Crystal system: monoclinic

***

# Ac3Pm4Sn4

Ac3Pm4Sn4 after structural relaxation (PBE, Alexandria).

a = 8.1915 Å, b = 8.1915 Å, c = 8.1915 Å
α = 109.47°, β = 109.47°, γ = 109.47°
Positions (direct):
Ac: 0.0000 0.5000 0.5000
Ac: 0.5000 0.0000 0.5000
Ac: 0.5000 0.5000 0.0000
Pm: 0.0000 0.0000 0.2665
Pm: 0.0000 0.2665 0.0000
Pm: 0.2665 0.0000 0.0000
Pm: 0.7335 0.7335 0.7335
Sn: 0.0000 0.0000 0.6265
Sn: 0.0000 0.6265 0.0000
Sn: 0.3735 0.3735 0.3735
Sn: 0.6265 0.0000 0.0000

Values from the calculation:
Crystal system: cubic

***

# AcPm3Sn3

AcPm3Sn3 after structural relaxation (PBE, Alexandria).

a = 9.6707 Å, b = 9.6707 Å, c = 5.4842 Å
α = 90.00°, β = 90.00°, γ = 120.00°
Positions (direct):
Ac: 0.3333 0.6667 0.2500
Ac: 0.6667 0.3333 0.7500
Pm: 0.0051 0.2449 0.7500
Pm: 0.2398 0.9949 0.7500
Pm: 0.2449 0.2398 0.2500
Pm: 0.7551 0.7602 0.7500
Pm: 0.7602 0.0051 0.2500
Pm: 0.9949 0.7551 0.2500
Sn: 0.0702 0.6242 0.7500
Sn: 0.3758 0.4460 0.7500
Sn: 0.4460 0.0702 0.2500
Sn: 0.5540 0.9298 0.7500
Sn: 0.6242 0.5540 0.2500
Sn: 0.9298 0.3758 0.2500

Values from the calculation:
Crystal system: hexagonal

***

# AcTbPmSn

AcTbPmSn after structural relaxation (PBE, Alexandria).

a = 5.6083 Å, b = 5.6083 Å, c = 5.6083 Å
α = 60.00°, β = 60.00°, γ = 60.00°
Positions (direct):
Ac: 0.0000 0.0000 0.0000
Tb: 0.7500 0.7500 0.7500
Pm: 0.2500 0.2500 0.2500
Sn: 0.5000 0.5000 0.5000

Values from the calculation:
Crystal system: cubic

***

# AcPmTmSn

AcPmTmSn after structural relaxation (PBE, Alexandria).

a = 5.5793 Å, b = 5.5793 Å, c = 5.5793 Å
α = 60.00°, β = 60.00°, γ = 60.00°
Positions (direct):
Ac: 0.0000 0.0000 0.0000
Pm: 0.7500 0.7500 0.7500
Tm: 0.2500 0.2500 0.2500
Sn: 0.5000 0.5000 0.5000

Values from the calculation:
Crystal system: cubic

***

# AcPm2Zn2Sn2

AcPm2Zn2Sn2 after structural relaxation (PBE, Alexandria).

a = 10.4501 Å, b = 10.4501 Å, c = 10.4501 Å
α = 26.08°, β = 26.08°, γ = 26.08°
Positions (direct):
Ac: 0.0000 0.0000 0.0000
Pm: 0.1333 0.1333 0.1333
Pm: 0.8667 0.8667 0.8667
Zn: 0.4222 0.4222 0.4222
Zn: 0.5778 0.5778 0.5778
Sn: 0.2616 0.2616 0.2616
Sn: 0.7384 0.7384 0.7384

Values from the calculation:
Crystal system: trigonal

***

# AcPmZnSn

AcPmZnSn after structural relaxation (PBE, Alexandria).

a = 5.5092 Å, b = 5.5092 Å, c = 5.5092 Å
α = 60.00°, β = 60.00°, γ = 60.00°
Positions (direct):
Ac: 0.0000 0.0000 0.0000
Pm: 0.5000 0.5000 0.5000
Zn: 0.7500 0.7500 0.7500
Sn: 0.2500 0.2500 0.2500

Values from the calculation:
Crystal system: cubic

***

# SrAc2Pm

SrAc2Pm after structural relaxation (PBE, Alexandria).

a = 3.9580 Å, b = 3.9580 Å, c = 11.2110 Å
α = 90.00°, β = 90.00°, γ = 90.00°
Positions (direct):
Sr: 0.0000 0.0000 0.0000
Ac: 0.5000 0.5000 0.2745
Ac: 0.5000 0.5000 0.7255
Pm: 0.0000 0.0000 0.5000

Values from the calculation:
Crystal system: tetragonal

***

# SrAc2Pm

SrAc2Pm after structural relaxation (PBE, Alexandria).

a = 13.9511 Å, b = 13.9511 Å, c = 13.9511 Å
α = 16.03°, β = 16.03°, γ = 16.03°
Positions (direct):
Sr: 0.0000 0.0000 0.0000
Ac: 0.0931 0.0931 0.0931
Ac: 0.9069 0.9069 0.9069
Pm: 0.5000 0.5000 0.5000

Values from the calculation:
Crystal system: trigonal

***

# SrAcPm

SrAcPm after structural relaxation (PBE, Alexandria).

a = 8.8238 Å, b = 8.8238 Å, c = 8.8238 Å
α = 154.14°, β = 154.14°, γ = 36.89°
Positions (direct):
Sr: 0.0000 0.0000 0.0000
Ac: 0.6846 0.6846 0.0000
Pm: 0.3301 0.3301 0.0000

Values from the calculation:
Crystal system: tetragonal

***

no.,theoretical density (g/cm³),calculated total energy (eV/cell),energy of formation from the pure elements (kJ/mol of atoms)
1,7.34,-86.852,-61.04
2,7.52,-19.243,-57.36
3,7.67,-91.062,-75.59
4,6.81,-50.753,-29.95
5,7.61,-68.456,-53.19
6,8.65,-18.272,-18.82
7,8.92,-17.986,-15.75
8,7.57,-26.868,-37.27
9,7.81,-15.950,-43.76
10,6.49,-14.447,4.88
11,6.31,-14.064,14.13
12,5.85,-10.328,6.84